{"formula": "Pm5Sb4I", "functional": "GGA-PBE", "state": "optimized geometry", "dft_energy_ev_per_cell": -53.0, "raw_formation_energy_mev_per_atom": -1120.2, "dos_ef_per_ev_atom": 0.43, "cell": [[-2.246, 2.246, 15.909], [2.246, -2.246, 15.909], [2.246, 2.246, -15.909]], "species": ["Pm", "Pm", "Pm", "Pm", "Pm", "Sb", "Sb", "Sb", "Sb", "I"], "fractional_positions": [[0.000, 0.000, 0.000], [0.200, 0.200, 0.000], [0.395, 0.395, 0.000], [0.605, 0.605, 0.000], [0.800, 0.800, 0.000], [0.099, 0.099, 0.000], [0.299, 0.299, 0.000], [0.701, 0.701, 0.000], [0.901, 0.901, 0.000], [0.500, 0.500, 0.000]]}

{"formula": "Cs2Np2S5", "functional": "GGA-PBE", "state": "optimized geometry", "dft_energy_ev_per_cell": -119.9, "raw_formation_energy_mev_per_atom": -1303.1, "dos_ef_per_ev_atom": 1.69, "cell": [[8.502, -3.813, 0.000], [8.502, 3.813, 0.000], [0.000, 0.000, 7.630]], "species": ["Cs", "Cs", "Cs", "Cs", "Np", "Np", "Np", "Np", "S", "S", "S", "S", "S", "S", "S", "S", "S", "S"], "fractional_positions": [[0.206, 0.206, 0.000], [0.294, 0.294, 0.500], [0.706, 0.706, 0.500], [0.794, 0.794, 0.000], [0.164, 0.836, 0.664], [0.336, 0.664, 0.164], [0.664, 0.336, 0.836], [0.836, 0.164, 0.336], [0.000, 0.000, 0.000], [0.044, 0.757, 0.357], [0.243, 0.956, 0.357], [0.257, 0.544, 0.857], [0.456, 0.743, 0.857], [0.500, 0.500, 0.500], [0.544, 0.257, 0.143], [0.743, 0.456, 0.143], [0.757, 0.044, 0.643], [0.956, 0.243, 0.643]]}